No. 1
# NbAlV | Alexandria via LeMat-Bulk | PBE-GGA | relaxed
data_NbAlV
_chemical_formula_sum 'Nb2 Al2 V2'
_space_group_name_H-M_alt 'I 4 m m'
_space_group_IT_number 107
_space_group_name_Hall 'I 4 -2'
_cell_length_a 3.297
_cell_length_b 3.297
_cell_length_c 8.854
_cell_angle_alpha 90.00
_cell_angle_beta 90.00
_cell_angle_gamma 90.00
loop_
_atom_site_label
_atom_site_type_symbol
_atom_site_fract_x
_atom_site_fract_y
_atom_site_fract_z
_atom_site_occupancy
Nb1 Nb 0.000 0.000 0.000 1
Al1 Al 0.000 0.000 0.682 1
V1 V 0.000 0.000 0.349 1
# Formation energy in kJ/mol of atoms: -13.8
# Polymorph energy (0 for the lowest one) in meV/atom: 74
# Density in kg/m³: 5895
# Magnetic moment in μB per formula unit: 0.002
# VASP energy in eV/atom: -7.79
# Fermi-level density of states in states/eV/f.u.: 3.92

No. 2
# NbAl2V | Alexandria via LeMat-Bulk | PBE-GGA | relaxed
data_NbAl2V
_chemical_formula_sum 'Nb3 Al6 V3'
_space_group_name_H-M_alt 'R -3 m'
_space_group_IT_number 166
_space_group_name_Hall '-R 3 2"'
_cell_length_a 2.8495
_cell_length_b 2.8495
_cell_length_c 27.4730
_cell_angle_alpha 90.00
_cell_angle_beta 90.00
_cell_angle_gamma 120.00
loop_
_atom_site_label
_atom_site_type_symbol
_atom_site_fract_x
_atom_site_fract_y
_atom_site_fract_z
_atom_site_occupancy
Nb1 Nb 0.0000 0.0000 0.0000 1
Al1 Al 0.0000 0.0000 0.2460 1
V1 V 0.0000 0.0000 0.5000 1
# Formation energy in kJ/mol of atoms: -5.5
# Polymorph energy (0 for the lowest one) in meV/atom: 210
# Density in kg/m³: 5101
# Magnetic moment in μB per formula unit: 0.000
# VASP energy in eV/atom: -6.72
# Fermi-level density of states in states/eV/f.u.: 3.42

No. 3
# NbAl2V | Alexandria via LeMat-Bulk | PBE-GGA | relaxed
data_NbAl2V
_chemical_formula_sum 'Nb1 Al2 V1'
_space_group_name_H-M_alt 'P 4/m m m'
_space_group_IT_number 123
_space_group_name_Hall '-P 4 2'
_cell_length_a 2.768
_cell_length_b 2.768
_cell_length_c 8.180
_cell_angle_alpha 90.00
_cell_angle_beta 90.00
_cell_angle_gamma 90.00
loop_
_atom_site_label
_atom_site_type_symbol
_atom_site_fract_x
_atom_site_fract_y
_atom_site_fract_z
_atom_site_occupancy
Nb1 Nb 0.000 0.000 0.000 1
Al1 Al 0.500 0.500 0.263 1
V1 V 0.000 0.000 0.500 1
# Formation energy in kJ/mol of atoms: -22.6
# Polymorph energy (0 for the lowest one) in meV/atom: 33
# Density in kg/m³: 5239
# Magnetic moment in μB per formula unit: 0.000
# VASP energy in eV/atom: -6.90
# Fermi-level density of states in states/eV/f.u.: 3.09